Here is an optimized crystal structure of SrTeAu3 from Alexandria via LeMat-Bulk. Energies are from PBE.

Cell lengths 5.6188, 5.6188, 5.6188 Å; angles 90.00, 90.00, 90.00 degrees
Element x y z (fractional)
Au 0.5000 0.0000 0.0000
Au 0.0000 0.5000 0.0000
Au 0.0000 0.0000 0.5000
Te 0.5000 0.5000 0.5000
Sr 0.0000 0.0000 0.0000

Formation energy without anion corrections (eV/atom): 0.707
Space-group type: No. 221


Here is an optimized crystal structure of Pr12Dy3In from Alexandria via LeMat-Bulk. Energies are from PBE.

Cell lengths 5.1286, 5.1286, 20.7931 Å; angles 90.00, 90.00, 90.00 degrees
Element x y z (fractional)
Pr 0.0000 0.5000 0.1210
Pr 0.5000 0.0000 0.8790
Pr 0.5000 0.5000 0.5000
Pr 0.5000 0.0000 0.3738
Pr 0.5000 0.0000 0.6262
Pr 0.5000 0.0000 0.1210
Pr 0.5000 0.5000 0.7525
Pr 0.0000 0.5000 0.6262
Pr 0.0000 0.5000 0.3738
Pr 0.0000 0.5000 0.8790
Pr 0.5000 0.5000 0.2475
Pr 0.5000 0.5000 0.0000
Dy 0.0000 0.0000 0.2484
Dy 0.0000 0.0000 0.5000
Dy 0.0000 0.0000 0.7516
In 0.0000 0.0000 0.0000

DFT formation energy (meV/atom): -51
Space-group type: No. 123


Here is an optimized crystal structure of Co3SiH from Alexandria via LeMat-Bulk. Energies are from PBE.

Cell lengths 3.5204, 3.5204, 5.3128 Å; angles 90.00, 90.00, 90.00 degrees
Element x y z (fractional)
Co 0.5000 0.0000 0.4476
Co 0.0000 0.5000 0.4476
Co 0.0000 0.0000 0.7389
H 0.5000 0.5000 0.4651
Si 0.0000 0.0000 0.1645

Uncorrected energy (eV per atom): -5.657
Space-group type: No. 99


Here is an optimized crystal structure of Nd6Ni2RuCl3 from Alexandria via LeMat-Bulk. Energies are from PBE.

Cell lengths 4.0495, 8.8744, 9.7472 Å; angles 110.68, 101.99, 90.00 degrees
Element x y z (fractional)
Ni 0.1705 0.3441 0.3409
Ni 0.8295 0.6559 0.6591
Nd 0.0103 0.2250 0.0206
Nd 0.3257 0.4397 0.6513
Nd 0.9897 0.7750 0.9794
Nd 0.6743 0.5603 0.3487
Nd 0.3447 0.8868 0.6893
Nd 0.6553 0.1132 0.3107
Cl 0.5000 0.5000 0.0000
Cl 0.1659 0.8322 0.3317
Cl 0.8341 0.1678 0.6683
Ru 0.5000 0.0000 0.0000

Formation energy without anion corrections (eV/atom): -0.920
Space-group type: No. 12